# 1
## Cd3Ag10Au3 (GGA-PBE)

Data for a geometry-optimized Cd3Ag10Au3 structure.

Unit cell a=8.121 b=8.121 c=5.429 alpha=90.00 beta=90.00 gamma=120.00
Element x y z (fractional)
Cd  0.000  0.593  0.000
Cd  0.407  0.407  0.000
Cd  0.593  0.000  0.000
Ag  0.000  0.212  0.000
Ag  0.000  0.783  0.500
Ag  0.212  0.000  0.000
Ag  0.217  0.217  0.500
Ag  0.333  0.667  0.251
Ag  0.333  0.667  0.749
Ag  0.667  0.333  0.251
Ag  0.667  0.333  0.749
Ag  0.783  0.000  0.500
Ag  0.788  0.788  0.000
Au  0.000  0.401  0.500
Au  0.401  0.000  0.500
Au  0.599  0.599  0.500

Properties
- total DFT energy (no corrections) (eV/atom) = -2.51
- calculated density (g cm⁻³) = 10.7
- ΔE_f (eV/atom) = 0.0546

# 2
## MnW3I (GGA-PBE)

Data for a geometry-optimized MnW3I structure.

Unit cell a=4.855 b=4.855 c=4.855 alpha=90.00 beta=90.00 gamma=90.00
Element x y z (fractional)
Mn  0.000  0.000  0.000
W  0.000  0.500  0.500
W  0.500  0.000  0.500
W  0.500  0.500  0.000
I  0.500  0.500  0.500

Properties
- total DFT energy (no corrections) (eV/atom) = -7.09
- calculated density (g cm⁻³) = 10.6
- ΔE to the lowest computed polymorph (meV per atom) = 1074